Density functional theory data (PBE) for a geometry-optimized CsSi2 structure.

Geometry as CIF:
```
data_CsSi2
_chemical_formula_sum 'Cs4 Si8'
_symmetry_space_group_name_H-M 'P 1'
_symmetry_Int_Tables_number 1
_cell_length_a 4.0994
_cell_length_b 7.4699
_cell_length_c 13.3550
_cell_angle_alpha 90.00
_cell_angle_beta 104.12
_cell_angle_gamma 90.00
loop_
_symmetry_equiv_pos_as_xyz
'x,y,z'
loop_
_atom_site_label
_atom_site_type_symbol
_atom_site_fract_x
_atom_site_fract_y
_atom_site_fract_z
_atom_site_occupancy
Cs1 Cs 0.3472 0.0000 0.5394 1
Cs2 Cs 0.3472 0.5000 0.0394 1
Cs3 Cs 0.6598 0.0000 0.8732 1
Cs4 Cs 0.6598 0.5000 0.3732 1
Si1 Si 0.9529 0.1702 0.1872 1
Si2 Si 0.9529 0.8298 0.1872 1
Si3 Si 0.9529 0.6702 0.6872 1
Si4 Si 0.9529 0.3298 0.6872 1
Si5 Si 0.4081 0.0000 0.1225 1
Si6 Si 0.4081 0.5000 0.6225 1
Si7 Si 0.7178 0.0000 0.3029 1
Si8 Si 0.7178 0.5000 0.8029 1
```

* ΔE to the lowest computed polymorph: 0.050 eV per atom
* SG: Cm (8)
* magnetization: 0.0 μB per formula unit
* ΔE_f (raw): 0.11 eV/atom